No. 1
Compound: KNb2GaPd
Source: Alexandria
Functional: PBE
Structure: optimized geometry

Cell and atoms, written as POSCAR:
```
KNb2GaPd
1.0
4.9715 0.0000 0.0000
0.0000 4.8771 0.0000
0.0000 0.0000 4.9715
Pd K Ga Nb
1 1 1 2
direct
0.0000 0.5000 0.0000 Pd
0.5000 0.5000 0.5000 K
0.0000 0.0000 0.0000 Ga
0.0000 0.0000 0.5000 Nb
0.5000 0.0000 0.0000 Nb
```

Computed properties:
Its space-group type is P4/mmm (123). The formation energy comes out at 1.096 eV/atom.

---

No. 2
Compound: LaBiO2F
Source: Alexandria
Functional: PBE
Structure: optimized geometry

Cell and atoms, written as POSCAR:
```
LaBiO2F
1.0
-0.9966 -2.1210 -3.9157
-0.5886 -3.9146 2.2702
-4.3804 0.9932 0.5769
O F Bi La
2 1 1 1
direct
0.5000 0.0000 0.0000 O
0.0000 0.5000 0.0000 O
0.0000 0.0000 0.5000 F
0.0000 0.0000 0.0000 Bi
0.5000 0.5000 0.5000 La
```

Computed properties:
Its space-group type is P4/mmm (123). Its raw formation energy is -1.644 eV per atom.

---

No. 3
Compound: Li3Sm3UTe8
Source: Alexandria
Functional: PBE
Structure: optimized geometry

Cell and atoms, written as POSCAR:
```
Li3Sm3UTe8
1.0
8.8277 0.0000 0.0000
-4.4138 7.6441 -0.0298
0.0000 -5.0733 7.0946
Li Te Sm U
3 8 3 1
direct
0.5000 0.5000 0.0000 Li
0.0000 0.5000 0.0000 Li
0.0000 0.0000 0.0000 Li
0.7519 0.5037 0.2463 Te
0.7577 0.0059 0.7537 Te
0.2464 0.4928 0.2394 Te
0.2423 0.9941 0.2463 Te
0.2481 0.0059 0.7537 Te
0.2481 0.4963 0.7537 Te
0.7519 0.9941 0.2463 Te
0.7536 0.5072 0.7606 Te
0.0000 0.5000 0.5000 Sm
0.5000 0.0000 0.5000 Sm
0.5000 0.5000 0.5000 Sm
0.0000 0.0000 0.5000 U
```

Computed properties:
Its space-group type is R-3m (166). Its raw formation energy is -1.149 eV per atom.

---

No. 4
Compound: Tm5Mg2Sc4
Source: Alexandria
Functional: PBE
Structure: optimized geometry

Cell and atoms, written as POSCAR:
```
Tm5Mg2Sc4
1.0
-0.5682 1.3516 -2.9748
-1.3651 -7.7558 -3.2632
-9.5953 4.0502 5.5216
Sc Tm Mg
4 5 2
direct
0.0000 0.3198 0.0000 Sc
0.2698 0.2698 0.5397 Sc
0.7302 0.7302 0.4603 Sc
0.0000 0.6802 0.0000 Sc
0.8558 0.6550 0.7115 Tm
0.1442 0.3450 0.2885 Tm
0.8558 0.0565 0.7115 Tm
0.1442 0.9435 0.2885 Tm
0.5000 0.0000 0.0000 Tm
0.5954 0.5954 0.1907 Mg
0.4046 0.4046 0.8093 Mg
```

Computed properties:
Its space-group type is Immm (71). The formation energy comes out at 0.242 eV/atom.

---

No. 5
Compound: Y3HfRh
Source: Alexandria
Functional: PBE
Structure: optimized geometry

Cell and atoms, written as POSCAR:
```
Y3HfRh
1.0
-1.9115 -3.0030 3.9576
2.1706 -4.3192 -2.2289
4.4687 0.8134 2.7756
Y Rh Hf
3 1 1
direct
0.5000 0.0000 0.0000 Y
0.0000 0.5000 0.0000 Y
0.0000 0.0000 0.5000 Y
0.0000 0.0000 0.0000 Rh
0.5000 0.5000 0.5000 Hf
```

Computed properties:
Its space-group type is Pm-3m (221). The value obtained for the energy relative to the lowest polymorph listed for this composition is 0.000 eV/atom. The formation energy comes out at 0.110 eV/atom.

---

No. 6
Compound: ReAgTeI2
Source: Alexandria
Functional: PBE
Structure: optimized geometry

Cell and atoms, written as POSCAR:
```
ReAgTeI2
1.0
5.6997 0.0000 0.0000
0.0000 5.6997 0.0000
0.0000 0.0000 5.0331
I Ag Te Re
2 1 1 1
direct
0.5000 0.0000 0.0000 I
0.0000 0.5000 0.0000 I
0.5000 0.5000 0.5000 Ag
0.0000 0.0000 0.5000 Te
0.0000 0.0000 0.0000 Re
```

Computed properties:
Its space-group type is P4/mmm (123). Its raw formation energy is 0.765 eV per atom. The value obtained for the energy relative to the lowest polymorph listed for this composition is 0.000 eV/atom.

---

N(E_F) values, unit states/eV/cell, following the record order: 7.430; 4.739; 5.165; 17.215; 7.897; 3.647.
Calculated volume values, unit Å³/cell, following the record order: 121; 94; 477; 307; 151; 164.